First-principles (PBE-GGA) data for SbF3 after structural relaxation, as listed in the Alexandria database.

## Properties
For the volume, the calculation gives 46 Å³/f.u. The space group is R-3m (166). The value obtained for the density of states at the Fermi level is 0.0 states/eV/cell. Its magnetization is 0.00 μB per formula unit.

abc: 4.0139 4.0139 4.0139
angles: 59.85 59.85 59.85
With the nearest neighbours (Å) after each atom.
Fractional positions:
Sb: 0.5000 0.5000 0.5000  8 F 2.45-2.46
F: 0.0000 0.0000 0.0000  8 F 2.45-2.46
F: 0.7503 0.7503 0.7503  4 Sb 2.45-2.46, 4 F 2.45-2.46
F: 0.2497 0.2497 0.2497  4 Sb 2.45-2.46, 4 F 2.45-2.46

First-principles (PBE-GGA) data for SbF after structural relaxation, as listed in the Alexandria database.

## Properties
For the volume, the calculation gives 46 Å³/f.u. The space group is P2_1/m (11). The value obtained for the density of states at the Fermi level is 0.1 states/eV/cell. Its magnetization is 0.00 μB per formula unit.

abc: 4.4349 4.3644 4.7548
angles: 90.00 96.23 90.00
With the nearest neighbours (Å) after each atom.
Fractional positions:
Sb: 0.5246 0.2500 0.2139  2 F 2.15-2.29
Sb: 0.4754 0.7500 0.7861  2 F 2.15-2.29
F: 0.0387 0.2500 0.2045  2 Sb 2.15-2.29
F: 0.9613 0.7500 0.7955  2 Sb 2.15-2.29

First-principles (PBE-GGA) data for SbF after structural relaxation, as listed in the Alexandria database.

## Properties
For the volume, the calculation gives 53 Å³/f.u. The space group is Pmn2_1 (31). Its magnetization is 0.00 μB per formula unit.

abc: 10.8649 4.7854 6.0893
angles: 90.00 90.00 90.00
With the nearest neighbours (Å) after each atom.
Fractional positions:
Sb: 0.7436 0.0381 0.2421  1 F 2.04
Sb: 0.7564 0.9619 0.7421  1 F 2.04
Sb: 0.2564 0.0381 0.2421  1 F 2.04
Sb: 0.2436 0.9619 0.7421  1 F 2.04
Sb: 0.0000 0.7110 0.6619  1 F 2.01
Sb: 0.5000 0.2890 0.1619  1 F 2.01
F: 0.7724 0.3853 0.7571  1 Sb 2.04
F: 0.7276 0.6147 0.2571  1 Sb 2.04
F: 0.2276 0.3853 0.7571  1 Sb 2.04
F: 0.2724 0.6147 0.2571  1 Sb 2.04
F: 0.0000 0.8114 0.3418  1 Sb 2.01
F: 0.5000 0.1886 0.8418  1 Sb 2.01

First-principles (PBE-GGA) data for SbF3 after structural relaxation, as listed in the Alexandria database.

## Properties
For the volume, the calculation gives 60 Å³/f.u. The space group is Cmcm (63). The value obtained for the density of states at the Fermi level is 0.0 states/eV/cell. Its magnetization is 0.00 μB per formula unit.

abc: 3.6426 4.6948 7.6725
angles: 90.00 90.00 112.83
With the nearest neighbours (Å) after each atom.
Fractional positions:
Sb: 0.7082 0.4165 0.7500  1 F 1.97
Sb: 0.2918 0.5835 0.2500  1 F 1.97
F: 0.4811 0.9622 0.7500  1 Sb 1.97
F: 0.5189 0.0378 0.2500  1 Sb 1.97
F: 0.1669 0.3339 0.9177  2 Sb 2.26
F: 0.8331 0.6661 0.0823  2 Sb 2.26
F: 0.8331 0.6661 0.4177  2 Sb 2.26
F: 0.1669 0.3339 0.5823  2 Sb 2.26

Number 1: formation energy without anion corrections -1.905 eV/atom, distance to the lowest polymorph of the same formula 1.86 eV/f.u., uncorrected energy -4.34 eV per atom. Number 2: formation energy without anion corrections -1.384 eV/atom, distance to the lowest polymorph of the same formula 0.00 eV/f.u., uncorrected energy -4.38 eV per atom. Number 3: formation energy without anion corrections -1.275 eV/atom, distance to the lowest polymorph of the same formula 0.22 eV/f.u., uncorrected energy -4.27 eV per atom. Number 4: formation energy without anion corrections -2.284 eV/atom, distance to the lowest polymorph of the same formula 0.35 eV/f.u., uncorrected energy -4.72 eV per atom.